Entry from Alexandria: a geometry-optimized In3AgSe structure (PBE).

abc: 5.2921 5.2921 5.2921
angles: 90.00 90.00 90.00
With the nearest neighbours (Å) after each atom.
Sites, in units of the cell vectors:
In (0.0000, 0.0000, 0.5000)  2 Ag 2.65
Se (0.5000, 0.5000, 0.5000)  12 In 3.74
Ag (0.0000, 0.0000, 0.0000)  6 In 2.65
In (0.0000, 0.5000, 0.0000)  2 Ag 2.65
In (0.5000, 0.0000, 0.0000)  2 Ag 2.65

D(E_F) = 0.72 states/eV per cell
space group = No. 221
size of the total moment = 0.0 μB/cell
calculated density = 5.95 g/cm3
formation energy without anion corrections = 0.102 eV/atom

Entry from Alexandria: a geometry-optimized InAgSe4 structure (PBE).

abc: 5.8619 5.8619 5.8619
angles: 60.00 60.00 60.00
With the nearest neighbours (Å) after each atom.
Sites, in units of the cell vectors:
Se (0.3752, 0.3752, 0.8744)  6 Se 2.93-2.94
Se (0.3752, 0.8744, 0.3752)  6 Se 2.93-2.94
Se (0.3752, 0.3752, 0.3752)  6 Se 2.93-2.94
In (0.0000, 0.0000, 0.0000)  12 Se 3.44, 4 Ag 3.59
Ag (0.7500, 0.7500, 0.7500)  12 Se 3.44, 4 In 3.59
Se (0.8744, 0.3752, 0.3752)  6 Se 2.93-2.94

D(E_F) = 1.73 states/eV per cell
space group = No. 216
size of the total moment = 0.0 μB/cell
calculated density = 6.28 g/cm3
formation energy without anion corrections = 0.358 eV/atom

Entry from Alexandria: a geometry-optimized InAgSe2 structure (PBE).

abc: 4.3679 4.3675 7.0947
angles: 90.02 89.97 120.00
With the nearest neighbours (Å) after each atom.
Sites, in units of the cell vectors:
Se (0.7364, 0.4954, 0.0599)  3 In 2.76, 1 Ag 2.80
In (0.4030, 0.8287, 0.2168)  4 Se 2.56-2.76
Se (0.4023, 0.8293, 0.5772)  1 In 2.56, 3 Ag 2.60
Ag (0.7356, 0.4960, 0.6649)  4 Se 2.60-2.80

D(E_F) = 0.96 states/eV per cell
space group = No. 156
size of the total moment = 0.0 μB/cell
calculated density = 5.39 g/cm3
formation energy without anion corrections = -0.345 eV/atom

Entry from Alexandria: a geometry-optimized InAgSe2 structure (PBE).

abc: 7.4028 7.4028 3.8311
angles: 90.01 90.01 29.86
With the nearest neighbours (Å) after each atom.
Sites, in units of the cell vectors:
Se (0.2357, 0.2357, 0.3756)  4 In 2.83
Se (0.9814, 0.9814, 0.8742)  1 In 2.67, 4 Ag 2.70
In (0.7946, 0.7946, 0.8759)  5 Se 2.67-2.83
Ag (0.4883, 0.4883, 0.3743)  4 Se 2.70

D(E_F) = 0.73 states/eV per cell
space group = No. 8
size of the total moment = 0.0 μB/cell
calculated density = 6.05 g/cm3
formation energy without anion corrections = -0.264 eV/atom

Entry from Alexandria: a geometry-optimized InAgSe2 structure (PBE).

abc: 7.5159 7.5159 7.5159
angles: 150.31 150.31 42.48
With the nearest neighbours (Å) after each atom.
Sites, in units of the cell vectors:
In (0.7500, 0.2500, 0.5000)  4 Se 2.72
Se (0.0000, 0.0000, 0.0000)  4 Ag 2.72
Se (0.2500, 0.7500, 0.5000)  4 In 2.72
Ag (0.5000, 0.5000, 0.0000)  4 Se 2.72

D(E_F) = 2.86 states/eV per cell
space group = No. 119
size of the total moment = 0.0 μB/cell
calculated density = 6.08 g/cm3
formation energy without anion corrections = -0.040 eV/atom

Entry from Alexandria: a geometry-optimized InAgSe3 structure (PBE).

abc: 5.1552 5.1552 5.1552
angles: 90.00 90.00 90.00
With the nearest neighbours (Å) after each atom.
Sites, in units of the cell vectors:
In (0.5000, 0.5000, 0.5000)  12 Se 3.65
Se (0.5000, 0.0000, 0.0000)  2 Ag 2.58
Se (0.0000, 0.0000, 0.5000)  2 Ag 2.58
Ag (0.0000, 0.0000, 0.0000)  6 Se 2.58
Se (0.0000, 0.5000, 0.0000)  2 Ag 2.58

D(E_F) = 6.56 states/eV per cell
space group = No. 221
size of the total moment = 0.0 μB/cell
calculated density = 5.57 g/cm3
formation energy without anion corrections = 0.373 eV/atom

Entry from Alexandria: a geometry-optimized InAgSe2 structure (PBE).

abc: 3.0590 3.0590 10.1043
angles: 90.00 90.00 90.57
With the nearest neighbours (Å) after each atom.
Sites, in units of the cell vectors:
In (0.5000, 0.5000, 0.7310)  4 In 3.06, 4 Se 3.14-3.15, 4 Ag 3.15-3.16
Se (0.0000, 0.0000, 0.9568)  4 Se 3.06, 4 In 3.14-3.15
Ag (0.0000, 0.0000, 0.5039)  4 Se 2.92-2.94, 4 Ag 3.06, 4 In 3.15-3.16
Se (0.5000, 0.5000, 0.3083)  4 Ag 2.92-2.94, 4 Se 3.06

D(E_F) = 1.57 states/eV per cell
space group = No. 35
size of the total moment = 0.0 μB/cell
calculated density = 6.68 g/cm3
formation energy without anion corrections = 0.184 eV/atom

Entry from Alexandria: a geometry-optimized InAgSe structure (PBE).

abc: 3.9151 3.9151 5.3160
angles: 90.00 90.00 120.00
With the nearest neighbours (Å) after each atom.
Sites, in units of the cell vectors:
Se (0.6667, 0.3333, 0.6645)  3 In 2.83, 3 Ag 2.85
Ag (0.0000, 0.0000, 0.9901)  3 Se 2.85, 3 In 2.95
In (0.3333, 0.6667, 0.3453)  3 Se 2.83, 3 Ag 2.95

D(E_F) = 0.80 states/eV per cell
space group = No. 156
size of the total moment = 0.0 μB/cell
calculated density = 7.10 g/cm3
formation energy without anion corrections = -0.174 eV/atom